No. 1
# TbTmAlPb

TbTmAlPb after structural relaxation (PBE, Alexandria).

## Properties
Theoretical density (g cm⁻³): 8.998
M_tot (μB/f.u.): 0.00
Formation enthalpy at 0 K (eV/atom): -0.311
Electronic total energy (eV/atom): -4.45

a b c (Å): 5.2740 5.2740 5.2740
angles (deg): 60.00 60.00 60.00
Fractional coordinates of all 4 atoms:
Tb  0.0000  0.0000  0.0000
Tm  0.5000  0.5000  0.5000
Al  0.7500  0.7500  0.7500
Pb  0.2500  0.2500  0.2500


No. 2
# AlTcPb3

AlTcPb3 after structural relaxation (PBE, Alexandria).

## Properties
Theoretical density (g cm⁻³): 8.070
Offset from the most stable computed form (meV per atom): 589.4
M_tot (μB/f.u.): 3.54
Formation enthalpy at 0 K (eV/atom): 1.182
Electronic total energy (eV/atom): -3.86

a b c (Å): 5.3557 5.3557 5.3557
angles (deg): 90.00 90.00 90.00
Fractional coordinates of all 5 atoms:
Al  0.0000  0.0000  0.0000
Tc  0.5000  0.5000  0.5000
Pb  0.0000  0.0000  0.5000
Pb  0.0000  0.5000  0.0000
Pb  0.5000  0.0000  0.0000


Q: Among the records above, which one has the lowest formation enthalpy at 0 K?
A: TbTmAlPb